The following is a DFT calculation (PBE) of a relaxed structure of CeAlGaCu2.

Cell: 6.0692 6.0692 6.0692 Å, 140.67 140.67 56.83°
Fractional positions:
Ce (0.0000, 0.0000, 0.0000)
Al (0.7500, 0.2500, 0.5000)
Ga (0.2500, 0.7500, 0.5000)
Cu (0.3859, 0.3859, 0.0000)
Cu (0.6141, 0.6141, 0.0000)

Properties
Space-group type = I-4m2 (119)
Volume = 17.811 A^3/atom
Density of states at the Fermi level = 5.3 states/eV/cell
M_tot = 0.062 μB/atom
E = -4.5437 eV per atom